Material: PmPrPu
Method: DFT, PBE
State: relaxed

```
PmPrPu
1.0
-2.6095 -2.2443 1.1014
1.4803 -0.4165 -3.2703
6.0211 -5.3303 3.4042
Pr Pu Pm
1 1 1
Cartesian
0.0364 -0.0323 0.0206
0.7703 -3.4202 0.7842
4.0851 -4.5386 0.4304
```

The symmetry is P3m1 (156). Its formation enthalpy at 0 K is 0.151 eV per atom. The density of states at the Fermi level is 8.7 states/eV/cell. The magnetic moment comes out at 6.31 μB per formula unit.

=====

Material: Pm12Pr3Pu
Method: DFT, PBE
State: relaxed

```
Pm12Pr3Pu
1.0
5.1625 0.0000 0.0000
0.0000 5.1625 0.0000
0.0000 0.0000 20.5994
Pm Pr Pu
12 3 1
Cartesian
2.5813 2.5813 5.0939
2.5813 0.0000 12.9079
2.5813 0.0000 7.6916
0.0000 2.5813 18.1318
2.5813 0.0000 2.4676
0.0000 2.5813 7.6916
0.0000 2.5813 2.4676
2.5813 0.0000 18.1318
0.0000 2.5813 12.9079
2.5813 2.5813 10.2997
2.5813 2.5813 0.0000
2.5813 2.5813 15.5055
0.0000 0.0000 10.2997
0.0000 0.0000 5.0989
0.0000 0.0000 15.5005
0.0000 0.0000 0.0000
```

The symmetry is P4/mmm (123). Its formation enthalpy at 0 K is 0.043 eV per atom. The density of states at the Fermi level is 31.7 states/eV/cell. The magnetic moment comes out at 6.26 μB per formula unit.

=====

Material: PmPr2Pu
Method: DFT, PBE
State: relaxed

```
PmPr2Pu
1.0
-3.3323 0.7593 1.1515
-0.8983 -3.4794 -0.3050
3.0030 -1.6315 9.7667
Pr Pu Pm
2 1 1
Cartesian
0.7760 -0.4216 2.5237
2.2271 -1.2099 7.2430
-0.6138 -2.1758 5.3065
-2.1153 -1.3601 0.4232
```

The symmetry is P4/mmm (123). Its formation enthalpy at 0 K is 0.121 eV per atom. The density of states at the Fermi level is 9.3 states/eV/cell. The magnetic moment comes out at 6.38 μB per formula unit.

=====

Material: Pm3Pr4Pu
Method: DFT, PBE
State: relaxed

```
Pm3Pr4Pu
1.0
3.4383 0.0000 -0.8321
-1.2153 10.6329 -5.0213
0.2880 -2.4209 8.7094
Pm Pr Pu
3 4 1
Cartesian
1.8662 6.8784 0.1914
-0.6076 5.3165 -2.5107
0.6449 1.3337 2.6646
1.1720 8.7411 -2.6767
1.3390 -0.5291 5.5326
0.7291 4.8052 3.0126
1.7819 3.4069 -0.1566
1.7191 0.0000 -0.4161
```

The symmetry is Immm (71). Its formation enthalpy at 0 K is 0.146 eV per atom. The density of states at the Fermi level is 16.7 states/eV/cell. The magnetic moment comes out at 6.49 μB per formula unit.

=====

Material: Pm8Pr3Pu
Method: DFT, PBE
State: relaxed

```
Pm8Pr3Pu
1.0
7.6823 -0.4716 -3.6337
-4.4839 7.1251 -1.2228
-0.2988 0.4726 8.4886
Pm Pu Pr
8 1 3
Cartesian
-4.1742 6.6348 4.3520
4.0499 5.2962 -2.4061
-3.1368 4.9858 6.7593
6.2835 1.7457 2.7769
0.1825 2.6141 1.7121
2.5895 1.3583 -0.1855
0.5533 5.3815 3.4480
5.2444 0.4949 -1.9210
0.0003 0.0009 0.0005
-2.3906 3.7987 3.6325
2.4985 1.8968 4.2394
0.4067 5.2221 -0.6147
```

The symmetry is Fmm2 (42). Its formation enthalpy at 0 K is 0.509 eV per atom. The density of states at the Fermi level is 18.3 states/eV/cell. The magnetic moment comes out at 4.74 μB per formula unit.

=====

Material: PmPr2Pu
Method: DFT, PBE
State: relaxed

```
PmPr2Pu
1.0
3.6453 0.0000 0.0000
1.8227 3.1569 0.0000
1.8227 1.0523 11.7746
Pm Pu Pr
1 1 2
Cartesian
3.6453 2.1046 5.8875
5.4680 3.1569 11.7707
1.8227 1.0523 8.9094
1.8227 1.0523 2.8687
```

The symmetry is R3m (160). Its formation enthalpy at 0 K is 0.133 eV per atom. The density of states at the Fermi level is 12.2 states/eV/cell. The magnetic moment comes out at 6.23 μB per formula unit.